No. 1
# Ho2ScAg3 PBE relaxed
data_Ho2ScAg3
_cell_length_a 3.537
_cell_length_b 3.537
_cell_length_c 10.797
_cell_angle_alpha 90.00
_cell_angle_beta 90.00
_cell_angle_gamma 90.00
_symmetry_space_group_name_H-M 'P 1'
_symmetry_Int_Tables_number 1
loop_
_symmetry_equiv_pos_as_xyz
'x,y,z'
loop_
_atom_site_label
_atom_site_type_symbol
_atom_site_fract_x
_atom_site_fract_y
_atom_site_fract_z
_atom_site_occupancy
Ho1 Ho 0.500 0.500 0.828 1
Ag1 Ag 0.000 0.000 0.349 1
Ho2 Ho 0.500 0.500 0.172 1
Ag2 Ag 0.000 0.000 0.000 1
Sc1 Sc 0.500 0.500 0.500 1
Ag3 Ag 0.000 0.000 0.651 1
# energy of formation from the pure elements	-1.83	eV per formula unit
# E_tot	-25.9	eV per cell



No. 2
# Mg2HOs PBE relaxed
data_Mg2HOs
_cell_length_a 4.714
_cell_length_b 5.375
_cell_length_c 5.500
_cell_angle_alpha 63.82
_cell_angle_beta 66.26
_cell_angle_gamma 64.95
_symmetry_space_group_name_H-M 'P 1'
_symmetry_Int_Tables_number 1
loop_
_symmetry_equiv_pos_as_xyz
'x,y,z'
loop_
_atom_site_label
_atom_site_type_symbol
_atom_site_fract_x
_atom_site_fract_y
_atom_site_fract_z
_atom_site_occupancy
Os1 Os 0.618 0.993 0.721 1
Mg1 Mg 0.917 0.354 0.742 1
H1 H 0.461 0.327 0.757 1
Mg2 Mg 0.594 0.539 0.263 1
Mg3 Mg 0.206 0.732 0.787 1
H2 H 0.224 0.004 0.993 1
Mg4 Mg 0.296 0.170 0.247 1
Os2 Os 0.913 0.872 0.285 1
# E above lowest polymorph	52.7	meV per atom
# E_tot	-35.4	eV per cell



No. 3
# Sr4I3O2 PBE relaxed
data_Sr4I3O2
_cell_length_a 7.672
_cell_length_b 9.489
_cell_length_c 11.101
_cell_angle_alpha 115.30
_cell_angle_beta 110.22
_cell_angle_gamma 90.00
_symmetry_space_group_name_H-M 'P 1'
_symmetry_Int_Tables_number 1
loop_
_symmetry_equiv_pos_as_xyz
'x,y,z'
loop_
_atom_site_label
_atom_site_type_symbol
_atom_site_fract_x
_atom_site_fract_y
_atom_site_fract_z
_atom_site_occupancy
Sr1 Sr 0.355 0.855 0.210 1
Sr2 Sr 0.424 0.533 0.847 1
O1 O 0.951 0.089 0.901 1
Sr3 Sr 0.576 0.467 0.153 1
Sr4 Sr 0.076 0.186 0.153 1
Sr5 Sr 0.145 0.145 0.790 1
Sr6 Sr 0.855 0.855 0.210 1
I1 I 0.374 0.830 0.748 1
I2 I 0.750 0.853 0.500 1
I3 I 0.126 0.582 0.252 1
Sr7 Sr 0.645 0.145 0.790 1
I4 I 0.874 0.418 0.748 1
O2 O 0.049 0.911 0.099 1
O3 O 0.549 0.688 0.099 1
I5 I 0.626 0.170 0.252 1
O4 O 0.451 0.312 0.901 1
I6 I 0.250 0.147 0.500 1
Sr8 Sr 0.924 0.814 0.847 1
# E above lowest polymorph	0.0	meV per atom
# E_tot	-78.5	eV per cell
# energy relative to the elements, uncorrected	-1.99	eV per atom



No. 4
# BaSi2Rh PBE relaxed
data_BaSi2Rh
_cell_length_a 4.199
_cell_length_b 4.198
_cell_length_c 4.829
_cell_angle_alpha 90.00
_cell_angle_beta 90.00
_cell_angle_gamma 90.00
_symmetry_space_group_name_H-M 'P 1'
_symmetry_Int_Tables_number 1
loop_
_symmetry_equiv_pos_as_xyz
'x,y,z'
loop_
_atom_site_label
_atom_site_type_symbol
_atom_site_fract_x
_atom_site_fract_y
_atom_site_fract_z
_atom_site_occupancy
Rh1 Rh 0.000 0.500 0.500 1
Si1 Si 0.000 0.000 0.000 1
Si2 Si 0.500 0.500 0.000 1
Ba1 Ba 0.500 0.000 0.500 1
# E_tot	-18.6	eV per cell
# energy relative to the elements, uncorrected	0.37	eV per atom



No. 5
# RbCdGa2Bi PBE relaxed
data_RbCdGa2Bi
_cell_length_a 5.113
_cell_length_b 4.931
_cell_length_c 6.880
_cell_angle_alpha 111.00
_cell_angle_beta 111.81
_cell_angle_gamma 90.00
_symmetry_space_group_name_H-M 'P 1'
_symmetry_Int_Tables_number 1
loop_
_symmetry_equiv_pos_as_xyz
'x,y,z'
loop_
_atom_site_label
_atom_site_type_symbol
_atom_site_fract_x
_atom_site_fract_y
_atom_site_fract_z
_atom_site_occupancy
Ga1 Ga 0.677 0.177 0.353 1
Bi1 Bi 0.831 0.831 0.662 1
Cd1 Cd 0.182 0.682 0.364 1
Rb1 Rb 0.444 0.444 0.888 1
Ga2 Ga 0.078 0.078 0.157 1
# energy of formation from the pure elements	-0.68	eV per formula unit
# E_tot	-12.5	eV per cell



No. 6
# CaMg2Tl3 PBE relaxed
data_CaMg2Tl3
_cell_length_a 3.748
_cell_length_b 3.748
_cell_length_c 11.088
_cell_angle_alpha 90.00
_cell_angle_beta 90.00
_cell_angle_gamma 90.00
_symmetry_space_group_name_H-M 'P 1'
_symmetry_Int_Tables_number 1
loop_
_symmetry_equiv_pos_as_xyz
'x,y,z'
loop_
_atom_site_label
_atom_site_type_symbol
_atom_site_fract_x
_atom_site_fract_y
_atom_site_fract_z
_atom_site_occupancy
Mg1 Mg 0.500 0.500 0.158 1
Ca1 Ca 0.500 0.500 0.500 1
Tl1 Tl 0.000 0.000 0.684 1
Mg2 Mg 0.500 0.500 0.842 1
Tl2 Tl 0.000 0.000 0.000 1
Tl3 Tl 0.000 0.000 0.316 1
# energy of formation from the pure elements	-1.07	eV per formula unit
# E above lowest polymorph	0.0	meV per atom
# E_tot	-13.4	eV per cell



No. 7
# TlPbCl2 PBE relaxed
data_TlPbCl2
_cell_length_a 4.093
_cell_length_b 6.085
_cell_length_c 4.578
_cell_angle_alpha 90.00
_cell_angle_beta 90.00
_cell_angle_gamma 90.00
_symmetry_space_group_name_H-M 'P 1'
_symmetry_Int_Tables_number 1
loop_
_symmetry_equiv_pos_as_xyz
'x,y,z'
loop_
_atom_site_label
_atom_site_type_symbol
_atom_site_fract_x
_atom_site_fract_y
_atom_site_fract_z
_atom_site_occupancy
Cl1 Cl 0.000 0.000 0.000 1
Pb1 Pb 0.500 0.000 0.500 1
Tl1 Tl 0.000 0.500 0.500 1
Cl2 Cl 0.500 0.500 0.000 1
# E above lowest polymorph	139.7	meV per atom
# E_tot	-12.4	eV per cell
# energy relative to the elements, uncorrected	-0.67	eV per atom



No. 8
# Tl2SiRu PBE relaxed
data_Tl2SiRu
_cell_length_a 3.135
_cell_length_b 3.135
_cell_length_c 9.497
_cell_angle_alpha 90.00
_cell_angle_beta 90.00
_cell_angle_gamma 116.60
_symmetry_space_group_name_H-M 'P 1'
_symmetry_Int_Tables_number 1
loop_
_symmetry_equiv_pos_as_xyz
'x,y,z'
loop_
_atom_site_label
_atom_site_type_symbol
_atom_site_fract_x
_atom_site_fract_y
_atom_site_fract_z
_atom_site_occupancy
Si1 Si 0.500 0.500 0.750 1
Tl1 Tl 0.000 0.000 0.016 1
Ru1 Ru 0.500 0.500 0.250 1
Tl2 Tl 0.000 0.000 0.484 1
# E above lowest polymorph	731.6	meV per atom
# E_tot	-16.3	eV per cell
# energy relative to the elements, uncorrected	0.77	eV per atom



No. 9
# Rb3Dy3NbO8 PBE relaxed
data_Rb3Dy3NbO8
_cell_length_a 6.868
_cell_length_b 6.868
_cell_length_c 7.686
_cell_angle_alpha 116.55
_cell_angle_beta 90.00
_cell_angle_gamma 120.00
_symmetry_space_group_name_H-M 'P 1'
_symmetry_Int_Tables_number 1
loop_
_symmetry_equiv_pos_as_xyz
'x,y,z'
loop_
_atom_site_label
_atom_site_type_symbol
_atom_site_fract_x
_atom_site_fract_y
_atom_site_fract_z
_atom_site_occupancy
Rb1 Rb 0.500 0.500 0.000 1
Dy1 Dy 0.000 0.500 0.500 1
O1 O 0.791 0.048 0.339 1
O2 O 0.743 0.952 0.661 1
Dy2 Dy 0.500 0.500 0.500 1
Nb1 Nb 0.000 0.000 0.500 1
O3 O 0.209 0.952 0.661 1
Rb2 Rb 0.000 0.500 0.000 1
Rb3 Rb 0.000 0.000 0.000 1
Dy3 Dy 0.500 0.000 0.500 1
O4 O 0.791 0.581 0.339 1
O5 O 0.725 0.449 0.674 1
O6 O 0.209 0.419 0.661 1
O7 O 0.275 0.551 0.326 1
O8 O 0.257 0.048 0.339 1
# E_tot	-106.3	eV per cell
# energy relative to the elements, uncorrected	-2.66	eV per atom



No. 10
# Y2CrOs PBE relaxed
data_Y2CrOs
_cell_length_a 4.839
_cell_length_b 4.839
_cell_length_c 3.577
_cell_angle_alpha 89.98
_cell_angle_beta 89.98
_cell_angle_gamma 90.06
_symmetry_space_group_name_H-M 'P 1'
_symmetry_Int_Tables_number 1
loop_
_symmetry_equiv_pos_as_xyz
'x,y,z'
loop_
_atom_site_label
_atom_site_type_symbol
_atom_site_fract_x
_atom_site_fract_y
_atom_site_fract_z
_atom_site_occupancy
Y1 Y 0.500 0.500 0.000 1
Y2 Y 0.000 0.000 0.000 1
Os1 Os 0.000 0.500 0.500 1
Cr1 Cr 0.500 0.000 0.500 1
# energy of formation from the pure elements	0.58	eV per formula unit
# E above lowest polymorph	108.6	meV per atom
# E_tot	-33.2	eV per cell



No. 11
# AcTmW2N6 PBE relaxed
data_AcTmW2N6
_cell_length_a 6.152
_cell_length_b 7.351
_cell_length_c 7.351
_cell_angle_alpha 85.65
_cell_angle_beta 77.78
_cell_angle_gamma 77.78
_symmetry_space_group_name_H-M 'P 1'
_symmetry_Int_Tables_number 1
loop_
_symmetry_equiv_pos_as_xyz
'x,y,z'
loop_
_atom_site_label
_atom_site_type_symbol
_atom_site_fract_x
_atom_site_fract_y
_atom_site_fract_z
_atom_site_occupancy
W1 W 0.721 0.622 0.804 1
N1 N 0.865 0.009 0.205 1
N2 N 0.682 0.107 0.611 1
W2 W 0.221 0.804 0.622 1
N3 N 0.635 0.795 0.991 1
N4 N 0.486 0.628 0.664 1
N5 N 0.514 0.372 0.336 1
Ac1 Ac 0.250 0.310 0.690 1
N6 N 0.318 0.893 0.389 1
W3 W 0.279 0.378 0.196 1
N7 N 0.986 0.664 0.628 1
N8 N 0.818 0.389 0.893 1
N9 N 0.014 0.336 0.372 1
N10 N 0.135 0.991 0.795 1
W4 W 0.779 0.196 0.378 1
Ac2 Ac 0.750 0.690 0.310 1
Tm1 Tm 0.250 0.914 0.086 1
N11 N 0.182 0.611 0.107 1
N12 N 0.365 0.205 0.009 1
Tm2 Tm 0.750 0.086 0.914 1
# E_tot	-189.9	eV per cell
# energy relative to the elements, uncorrected	-1.05	eV per atom



No. 12
# TlSiTe4Pb PBE relaxed
data_TlSiTe4Pb
_cell_length_a 7.861
_cell_length_b 6.640
_cell_length_c 9.890
_cell_angle_alpha 90.00
_cell_angle_beta 106.76
_cell_angle_gamma 90.00
_symmetry_space_group_name_H-M 'P 1'
_symmetry_Int_Tables_number 1
loop_
_symmetry_equiv_pos_as_xyz
'x,y,z'
loop_
_atom_site_label
_atom_site_type_symbol
_atom_site_fract_x
_atom_site_fract_y
_atom_site_fract_z
_atom_site_occupancy
Te1 Te 0.607 0.250 0.431 1
Te2 Te 0.424 0.750 0.149 1
Si1 Si 0.771 0.250 0.690 1
Te3 Te 0.021 0.990 0.751 1
Tl1 Tl 0.248 0.250 0.066 1
Te4 Te 0.576 0.250 0.851 1
Te5 Te 0.021 0.510 0.751 1
Pb1 Pb 0.273 0.250 0.566 1
Te6 Te 0.979 0.490 0.249 1
Te7 Te 0.393 0.750 0.569 1
Tl2 Tl 0.752 0.750 0.934 1
Te8 Te 0.979 0.010 0.249 1
Si2 Si 0.229 0.750 0.310 1
Pb2 Pb 0.727 0.750 0.434 1
# E_tot	-50.7	eV per cell
# energy relative to the elements, uncorrected	-0.19	eV per atom